1.
A plane-wave DFT calculation with PBE was carried out for K2InNiH6 after structural relaxation.

Lattice parameters (Å, degrees): 5.632 5.632 8.040 90.00 90.00 90.00
Space group I4/mmm (No. 139)
Symmetry-distinct sites (fractional):
K (0.000, 0.500, 0.250)
In (0.000, 0.000, 0.000)
Ni (0.000, 0.000, 0.500)
H (0.000, 0.000, 0.298)
H (0.202, 0.202, 0.500)

Values from the calculation:
Total moment: 0.000 μB per atom
Uncorrected energy: -63.44 eV per cell

2.
A plane-wave DFT calculation with PBE was carried out for Cd2Pd3Au4 after structural relaxation.

Lattice parameters (Å, degrees): 16.163 2.976 6.814 90.00 98.23 90.00
Space group C2/m (No. 12)
Symmetry-distinct sites (fractional):
Cd (0.155, 0.000, 0.059)
Pd (0.000, 0.500, 0.000)
Pd (0.108, 0.500, 0.382)
Au (0.048, 0.000, 0.689)
Au (0.221, 0.000, 0.673)

Values from the calculation:
Total moment: 0.000 μB per atom
Formation energy from the elements: -0.161 eV/atom
E above lowest polymorph: 17 meV/atom

3.
A plane-wave DFT calculation with PBE was carried out for TbTlInPd after structural relaxation.

Lattice parameters (Å, degrees): 7.145 7.145 7.145 90.00 90.00 90.00
Space group F-43m (No. 216)
Symmetry-distinct sites (fractional):
Tb (0.000, 0.000, 0.000)
Tl (0.250, 0.250, 0.750)
In (0.000, 0.000, 0.500)
Pd (0.250, 0.250, 0.250)

Values from the calculation:
Total moment: 0.000 μB per atom
Formation energy from the elements: -0.431 eV/atom

4.
A plane-wave DFT calculation with PBE was carried out for Pr2SI4 after structural relaxation.

Lattice parameters (Å, degrees): 13.685 13.685 4.013 90.00 90.00 90.00
Space group P4_2/mnm (No. 136)
Symmetry-distinct sites (fractional):
Pr (0.108, 0.108, 0.000)
S (0.000, 0.000, 0.500)
I (0.065, 0.280, 0.500)

Values from the calculation:
Total moment: 0.000 μB per atom
Uncorrected energy: -60.88 eV per cell

Question: Which formula does entry 1 have?
Answer: K2InNiH6

Question: What is the total moment in the third record?
Answer: 0.000 μB per atom